(1)
Density functional theory data (GGA-PBE) for a relaxed V5IrRu4 crystal.

CIF file:
```
data_V5IrRu4
_cell_length_a 2.911
_cell_length_b 2.911
_cell_length_c 16.286
_cell_angle_alpha 90.00
_cell_angle_beta 90.00
_cell_angle_gamma 90.00
_space_group_name_H-M_alt 'P 4/m m m'
_space_group_IT_number 123
_space_group_name_Hall '-P 4 2'
loop_
_atom_site_label
_atom_site_fract_x
_atom_site_fract_y
_atom_site_fract_z
V1 0.000 0.000 0.000
V2 0.000 0.000 0.195
V3 0.000 0.000 0.393
Ir1 0.500 0.500 0.500
Ru1 0.500 0.500 0.096
Ru2 0.500 0.500 0.285
```

## Properties
Energy of formation (eV per formula unit): -2.50
DFT total energy (eV for the cell shown): -94.1

(2)
Density functional theory data (GGA-PBE) for a relaxed CaMgAl crystal.

CIF file:
```
data_CaMgAl
_cell_length_a 5.923
_cell_length_b 5.956
_cell_length_c 8.335
_cell_angle_alpha 90.00
_cell_angle_beta 90.00
_cell_angle_gamma 90.00
_space_group_name_H-M_alt 'I m m a'
_space_group_IT_number 74
_space_group_name_Hall '-I 2b 2'
loop_
_atom_site_label
_atom_site_fract_x
_atom_site_fract_y
_atom_site_fract_z
Ca1 0.000 0.250 0.130
Mg1 0.250 0.250 0.750
Al1 0.000 0.000 0.500
```

## Properties
Energy of formation (eV per formula unit): -0.60
DFT total energy (eV for the cell shown): -31.7

(3)
Density functional theory data (GGA-PBE) for a relaxed RbHfI crystal.

CIF file:
```
data_RbHfI
_cell_length_a 3.877
_cell_length_b 3.878
_cell_length_c 16.836
_cell_angle_alpha 89.06
_cell_angle_beta 89.47
_cell_angle_gamma 60.13
_space_group_name_H-M_alt 'P -1'
_space_group_IT_number 2
_space_group_name_Hall '-P 1'
loop_
_atom_site_label
_atom_site_fract_x
_atom_site_fract_y
_atom_site_fract_z
Rb1 0.169 0.192 0.127
Hf1 0.167 0.171 0.438
I1 0.499 0.487 0.682
```

## Properties
Raw formation energy (eV per atom): -0.173
ΔE to the lowest computed polymorph (eV/f.u.): 0.196
DFT total energy (eV for the cell shown): -26.0

(4)
Density functional theory data (GGA-PBE) for a relaxed Er6C3S2 crystal.

CIF file:
```
data_Er6C3S2
_cell_length_a 6.308
_cell_length_b 10.919
_cell_length_c 6.623
_cell_angle_alpha 90.00
_cell_angle_beta 108.60
_cell_angle_gamma 90.00
_space_group_name_H-M_alt 'C 1 2/m 1'
_space_group_IT_number 12
_space_group_name_Hall '-C 2y'
loop_
_atom_site_label
_atom_site_fract_x
_atom_site_fract_y
_atom_site_fract_z
Er1 0.234 0.169 0.210
Er2 0.240 0.500 0.206
C1 0.000 0.000 0.000
C2 0.000 0.331 0.000
S1 0.000 0.166 0.500
```

## Properties
Raw formation energy (eV per atom): -1.052
DFT total energy (eV for the cell shown): -149.7

(5)
Density functional theory data (GGA-PBE) for a relaxed RbSnSbI2 crystal.

CIF file:
```
data_RbSnSbI2
_cell_length_a 6.313
_cell_length_b 6.313
_cell_length_c 5.960
_cell_angle_alpha 90.00
_cell_angle_beta 90.00
_cell_angle_gamma 90.00
_space_group_name_H-M_alt 'P 4/m m m'
_space_group_IT_number 123
_space_group_name_Hall '-P 4 2'
loop_
_atom_site_label
_atom_site_fract_x
_atom_site_fract_y
_atom_site_fract_z
Rb1 0.000 0.000 0.000
Sn1 0.500 0.500 0.500
Sb1 0.500 0.500 0.000
I1 0.000 0.500 0.500
```

## Properties
Raw formation energy (eV per atom): -0.358
ΔE to the lowest computed polymorph (eV/f.u.): 0.000
DFT total energy (eV for the cell shown): -14.0

(6)
Density functional theory data (GGA-PBE) for a relaxed SiSb2Se crystal.

CIF file:
```
data_SiSb2Se
_cell_length_a 4.098
_cell_length_b 4.098
_cell_length_c 5.990
_cell_angle_alpha 90.00
_cell_angle_beta 90.00
_cell_angle_gamma 90.00
_space_group_name_H-M_alt 'P 4 m m'
_space_group_IT_number 99
_space_group_name_Hall 'P 4 -2'
loop_
_atom_site_label
_atom_site_fract_x
_atom_site_fract_y
_atom_site_fract_z
Si1 0.000 0.000 0.000
Sb1 0.000 0.000 0.549
Sb2 0.500 0.500 0.023
Se1 0.500 0.500 0.492
```

## Properties
Raw formation energy (eV per atom): 0.133
ΔE to the lowest computed polymorph (eV/f.u.): 0.210
DFT total energy (eV for the cell shown): -16.6

Number 1: calculated volume 138.0 Å³ per cell. Number 2: calculated volume 294.0 Å³ per cell. Number 3: calculated volume 219.5 Å³ per cell. Number 4: calculated volume 432.3 Å³ per cell. Number 5: calculated volume 237.5 Å³ per cell. Number 6: calculated volume 100.6 Å³ per cell.